VASP calculation (SCAN) on RbLiTe2 at its PBEsol-relaxed geometry.

Computed properties:
As for the volume: 306.4 Å³/cell. Its space group is No. 122. The calculation puts the electronic total energy at -202.4 eV/cell. As for the raw formation energy: -0.898 eV per atom. The value obtained for the total magnetization is 0.00 μB per cell.

```
data_RbLiTe2
_symmetry_space_group_name_H-M 'P 1'
_symmetry_Int_Tables_number 1
_cell_length_a 9.8537
_cell_length_b 9.8537
_cell_length_c 9.8537
_cell_angle_alpha 145.44
_cell_angle_beta 145.44
_cell_angle_gamma 49.68
loop_
_symmetry_equiv_pos_as_xyz
'x,y,z'
loop_
_atom_site_label
_atom_site_type_symbol
_atom_site_fract_x
_atom_site_fract_y
_atom_site_fract_z
_atom_site_occupancy
Rb1 Rb 0.0000 0.0000 0.0000 1
Rb2 Rb 0.7500 0.2500 0.5000 1
Li1 Li 0.2500 0.7500 0.5000 1
Li2 Li 0.5000 0.5000 0.0000 1
Te1 Te 0.3113 0.6250 0.1863 1
Te2 Te 0.3750 0.5613 0.6863 1
Te3 Te 0.4387 0.1250 0.8137 1
Te4 Te 0.8750 0.6887 0.3137 1
```